This record from the Alexandria database describes a relaxed structure of Sr8ZnAu2. The functional is PBE-GGA.

```
Sr8ZnAu2
1.0
5.375 0.000 0.000
0.000 8.008 0.301
-2.687 -3.072 9.949
Sr Zn Au
8 1 2
Cartesian
2.687 3.573 5.961
2.687 6.735 3.707
2.687 -1.195 9.247
2.687 3.080 2.003
0.000 1.856 8.247
0.000 1.363 4.289
0.000 -1.799 6.543
0.000 6.130 1.003
2.687 0.000 0.000
0.000 4.580 3.982
2.687 0.355 6.268
```

Calculated values
Polymorph energy (0 for the lowest one) (meV per atom): 0
Calculated volume (Å³/f.u.): 433
Energy of formation from the pure elements (eV/atom): -0.28
Final energy (Ha/atom): -0.08149


This record from the Alexandria database describes a relaxed structure of SrZnAu2. The functional is PBE-GGA.

```
SrZnAu2
1.0
5.043 -0.779 -0.021
0.590 5.068 0.021
-2.447 -2.630 3.624
Zn Au Sr
1 2 1
Cartesian
0.155 2.044 1.822
2.921 -0.469 1.802
0.137 0.105 0.000
2.789 2.124 0.000
```

Calculated values
Calculated volume (Å³/f.u.): 94
Energy of formation from the pure elements (eV/atom): -0.39
Final energy (Ha/atom): -0.10179